Below is Rb3Na3ZnI8 after structural relaxation, with properties calculated at the PBE level.

abc: 16.339 9.419 10.088
angles: 90.00 122.71 90.00
Space group C2/m (No. 12)
One atom of each set of equivalent atoms:
Rb 0.000 0.000 0.000 x2
Rb 0.250 0.250 0.000 x4
Na 0.000 0.500 0.500 x2
Na 0.250 0.250 0.500 x4
Zn 0.000 0.000 0.500 x2
I 0.010 0.224 0.306 x8
I 0.214 0.000 0.694 x4
I 0.238 0.500 0.713 x4

As for the energy relative to the elements, uncorrected: -1163 meV/atom. The final energy comes out at -2.53 eV/atom.